An optimized crystal structure of Th5Te, computed with GGA-PBE.

Lattice parameters (Å, degrees): 4.961 15.587 4.796 90.00 90.00 90.00
Space group Cmmm (No. 65)
Inequivalent atoms, fractional coordinates:
Th 0.000 0.000 0.000
Th 0.000 0.160 0.500
Th 0.000 0.332 0.000
Te 0.000 0.500 0.500

ΔE_f (raw) (eV/atom): -0.20
Electronic total energy (eV per atom): -6.91

An optimized crystal structure of Al2ZnSe, computed with GGA-PBE.

Lattice parameters (Å, degrees): 3.755 3.755 5.496 90.00 90.00 90.00
Space group P4mm (No. 99)
Inequivalent atoms, fractional coordinates:
Al 0.000 0.000 0.000
Al 0.500 0.500 0.477
Zn 0.500 0.500 0.975
Se 0.000 0.000 0.487

ΔE_f (raw) (eV/atom): -0.01
E above lowest polymorph (meV/atom): 108
Electronic total energy (eV per atom): -3.08

> ΔE_f (raw) of number 1 (Th5Te)?

-0.20 eV/atom